1.
This record from Alexandria via LeMat-Bulk describes a relaxed structure of LiMoCl. The functional is GGA-PBEsol.

raw formation energy	1.093	eV/f.u.
total energy	-14.649	eV for the cell shown
total moment	0.00	μB per cell

a b c (Å): 4.202 4.202 2.804
angles (deg): 90.00 90.00 120.00
Positions (direct):
Li  0.000  0.000  0.000
Mo  0.667  0.333  0.500
Cl  0.333  0.667  0.500

---

2.
This record from Alexandria via LeMat-Bulk describes a relaxed structure of TlCr2Pt. The functional is GGA-PBEsol.

energy of formation	9.59	kcal/mol of atoms
total energy	-28.414	eV for the cell shown
total moment	0.00	μB per cell

a b c (Å): 4.776 4.776 5.079
angles (deg): 104.18 104.18 35.01
Positions (direct):
Tl  0.000  0.000  0.000
Cr  0.245  0.245  0.658
Cr  0.755  0.755  0.342
Pt  0.500  0.500  0.500

---

3.
This record from Alexandria via LeMat-Bulk describes a relaxed structure of ZrBe4Fe. The functional is GGA-PBEsol.

energy of formation	-6.00	kcal/mol of atoms
total energy	-35.616	eV for the cell shown
total moment	0.00	μB per cell

a b c (Å): 4.426 4.426 4.426
angles (deg): 60.00 60.00 60.00
Positions (direct):
Zr  0.000  0.000  0.000
Be  0.131  0.623  0.623
Be  0.623  0.131  0.623
Be  0.623  0.623  0.131
Be  0.623  0.623  0.623
Fe  0.250  0.250  0.250

---

4.
This record from Alexandria via LeMat-Bulk describes a relaxed structure of KTa2Ir. The functional is GGA-PBEsol.

energy of formation	26.34	kcal/mol of atoms
distance to the lowest polymorph of the same formula	698	meV/atom
total energy	-31.490	eV for the cell shown
total moment	0.00	μB per cell

a b c (Å): 5.466 5.466 2.754
angles (deg): 90.00 90.00 118.06
Positions (direct):
K  0.000  0.000  0.000
Ta  0.000  0.500  0.500
Ta  0.500  0.000  0.500
Ir  0.500  0.500  0.000

---

5.
This record from Alexandria via LeMat-Bulk describes a relaxed structure of Sr2MoSe. The functional is GGA-PBEsol.

raw formation energy	0.104	eV/f.u.
total energy	-19.195	eV for the cell shown
total moment	3.74	μB per cell

a b c (Å): 3.793 3.793 7.577
angles (deg): 90.00 90.00 90.00
Positions (direct):
Sr  0.000  0.000  0.233
Sr  0.000  0.000  0.767
Mo  0.500  0.500  0.500
Se  0.500  0.500  0.000

---

6.
This record from Alexandria via LeMat-Bulk describes a relaxed structure of TaIn2Cl2. The functional is GGA-PBEsol.

raw formation energy	2.653	eV/f.u.
total energy	-19.880	eV for the cell shown
total moment	2.36	μB per cell

a b c (Å): 7.466 7.466 7.466
angles (deg): 148.44 148.44 45.24
Positions (direct):
Ta  0.000  0.000  0.000
In  0.389  0.389  0.000
In  0.611  0.611  0.000
Cl  0.250  0.750  0.500
Cl  0.750  0.250  0.500